Record 1
Here is Li2AgPt at its PBEsol-relaxed geometry from Alexandria. Energies are from meta-GGA SCAN.

abc: 5.566 7.128 2.786
angles: 90.00 90.00 90.00
Space group Cmmm (No. 65)
Asymmetric unit:
Li 0.250 0.250 0.000 x4
Ag 0.000 0.000 0.500 x2
Pt 0.000 0.500 0.500 x2

Computed properties:
DOS(E_F) (states/eV per cell): 1.759
VASP energy (eV/cell): -216.09

---

Record 2
Here is LiAg2Pt2 at its PBEsol-relaxed geometry from Alexandria. Energies are from meta-GGA SCAN.

abc: 3.817 3.817 12.527
angles: 90.00 90.00 90.00
Space group I4/mmm (No. 139)
Asymmetric unit:
Li 0.000 0.000 0.000 x2
Ag 0.000 0.500 0.250 x4
Pt 0.000 0.000 0.402 x4

Computed properties:
DOS(E_F) (states/eV per cell): 10.483
VASP energy (eV/cell): -408.92

---

Record 3
Here is Li3AgPt at its PBEsol-relaxed geometry from Alexandria. Energies are from meta-GGA SCAN.

abc: 4.633 4.633 4.633
angles: 90.00 90.00 90.00
Space group Pm-3m (No. 221)
Asymmetric unit:
Li 0.000 0.000 0.500 x3
Ag 0.500 0.500 0.500 x1
Pt 0.000 0.000 0.000 x1

Computed properties:
DOS(E_F) (states/eV per cell): 0.691
VASP energy (eV/cell): -108.81

---

Record 4
Here is Li2AgPt at its PBEsol-relaxed geometry from Alexandria. Energies are from meta-GGA SCAN.

abc: 2.765 3.680 5.534
angles: 90.00 90.00 90.00
Space group Pmmm (No. 47)
Asymmetric unit:
Li 0.000 0.000 0.226 x2
Ag 0.500 0.500 0.500 x1
Pt 0.500 0.500 0.000 x1

Computed properties:
DOS(E_F) (states/eV per cell): 0.976
VASP energy (eV/cell): -108.05

---

Record 5
Here is Li2AgPt at its PBEsol-relaxed geometry from Alexandria. Energies are from meta-GGA SCAN.

abc: 2.783 2.783 7.244
angles: 90.00 90.00 90.00
Space group P4/mmm (No. 123)
Asymmetric unit:
Li 0.000 0.000 0.229 x2
Ag 0.500 0.500 0.500 x1
Pt 0.500 0.500 0.000 x1

Computed properties:
DOS(E_F) (states/eV per cell): 0.944
VASP energy (eV/cell): -108.09

---

Record 6
Here is Li2AgPt2 at its PBEsol-relaxed geometry from Alexandria. Energies are from meta-GGA SCAN.

abc: 4.460 4.460 7.948
angles: 90.00 90.00 90.00
Space group I4/mmm (No. 139)
Asymmetric unit:
Li 0.000 0.500 0.250 x4
Ag 0.000 0.000 0.000 x2
Pt 0.000 0.000 0.344 x4

Computed properties:
DOS(E_F) (states/eV per cell): 3.560
VASP energy (eV/cell): -352.59

---

Record 7
Here is RbLiAg2 at its PBEsol-relaxed geometry from Alexandria. Energies are from meta-GGA SCAN.

abc: 8.264 8.264 5.793
angles: 90.00 90.00 90.00
Space group I-42d (No. 122)
Asymmetric unit:
Rb 0.000 0.000 0.000 x4
Li 0.000 0.000 0.500 x4
Ag 0.199 0.750 0.625 x8

Computed properties:
DOS(E_F) (states/eV per cell): 3.034
VASP energy (eV/cell): -339.90

---

Record 8
Here is Rb2LiAg2 at its PBEsol-relaxed geometry from Alexandria. Energies are from meta-GGA SCAN.

abc: 5.218 5.218 14.565
angles: 90.00 90.00 90.00
Space group I4/mmm (No. 139)
Asymmetric unit:
Rb 0.000 0.500 0.250 x4
Li 0.000 0.000 0.000 x2
Ag 0.000 0.000 0.409 x4

Computed properties:
DOS(E_F) (states/eV per cell): 3.928
VASP energy (eV/cell): -209.43

---

Record 9
Here is Rb3LiAg at its PBEsol-relaxed geometry from Alexandria. Energies are from meta-GGA SCAN.

abc: 6.750 6.750 6.750
angles: 90.00 90.00 90.00
Space group Pm-3m (No. 221)
Asymmetric unit:
Rb 0.000 0.000 0.500 x3
Li 0.500 0.500 0.500 x1
Ag 0.000 0.000 0.000 x1

Computed properties:
DOS(E_F) (states/eV per cell): 4.518
VASP energy (eV/cell): -95.07

---

Record 10
Here is LiRe2Ag at its PBEsol-relaxed geometry from Alexandria. Energies are from meta-GGA SCAN.

abc: 6.117 6.117 6.117
angles: 90.00 90.00 90.00
Space group F-43m (No. 216)
Asymmetric unit:
Li 0.000 0.000 0.000 x4
Re 0.000 0.000 0.500 x4
Re 0.250 0.250 0.250 x4
Ag 0.250 0.250 0.750 x4

Computed properties:
DOS(E_F) (states/eV per cell): 11.318
VASP energy (eV/cell): -696.73

---

Record 11
Here is Li2ReAg at its PBEsol-relaxed geometry from Alexandria. Energies are from meta-GGA SCAN.

abc: 6.577 6.577 5.263
angles: 90.00 90.00 90.00
Space group I-42d (No. 122)
Asymmetric unit:
Li 0.236 0.750 0.125 x8
Re 0.000 0.000 0.500 x4
Ag 0.000 0.000 0.000 x4

Computed properties:
DOS(E_F) (states/eV per cell): 9.096
Energy above the most stable polymorph in this dataset (meV/atom): 199

---

Record 12
Here is LiReAg at its PBEsol-relaxed geometry from Alexandria. Energies are from meta-GGA SCAN.

abc: 2.590 2.590 13.340
angles: 90.00 90.00 90.00
Space group I4mm (No. 107)
Asymmetric unit:
Li 0.000 0.000 0.000 x2
Re 0.000 0.000 0.663 x2
Ag 0.000 0.000 0.334 x2

Computed properties:
DOS(E_F) (states/eV per cell): 2.660
VASP energy (eV/cell): -207.52